Entry 1:
Compound: Tb2PrTm7
Source: the Alexandria database
Functional: GGA-PBE
Structure: optimized geometry

Properties
The calculation puts the energy above the most stable polymorph in this dataset at 290.4 kJ/mol of formula units. For the density of states at the Fermi level, the calculation gives 1.504 states/eV/atom. The space-group type is Cmmm, No. 65. As for the formation enthalpy at 0 K: 0.714 eV/atom.

abc: 5.5087 9.1871 9.1872
angles: 123.93 90.00 90.00
Positions (direct):
Tb (0.5000, 0.2974, 0.7026)
Tb (0.5000, 0.7026, 0.2974)
Tm (0.5000, 0.5000, 0.5000)
Tm (0.5000, 0.0621, 0.2905)
Tm (0.0000, 0.7886, 0.2114)
Tm (0.5000, 0.2905, 0.0621)
Tm (0.5000, 0.7095, 0.9379)
Tm (0.5000, 0.9379, 0.7095)
Tm (0.0000, 0.2114, 0.7886)
Pr (0.0000, 0.0000, 0.0000)

---

Entry 2:
Compound: TbPr2Tm6
Source: the Alexandria database
Functional: GGA-PBE
Structure: optimized geometry

Properties
The calculation puts the energy above the most stable polymorph in this dataset at 32.4 kJ/mol of formula units. For the density of states at the Fermi level, the calculation gives 1.298 states/eV/atom. The space-group type is C2/c, No. 15. As for the formation enthalpy at 0 K: 0.112 eV/atom.

abc: 6.5356 9.5293 9.5293
angles: 95.78 81.22 81.22
Positions (direct):
Pr (0.8757, 0.3840, 0.3290)
Pr (0.3757, 0.3290, 0.3840)
Pr (0.6243, 0.6710, 0.6160)
Pr (0.1243, 0.6160, 0.6710)
Tm (0.5016, 0.6553, 0.2755)
Tm (0.4984, 0.3447, 0.7245)
Tm (0.7343, 0.0569, 0.4611)
Tm (0.7657, 0.5389, 0.9431)
Tm (0.3153, 0.7793, 0.9576)
Tm (0.2657, 0.9431, 0.5389)
Tm (0.2343, 0.4611, 0.0569)
Tm (0.6847, 0.2207, 0.0424)
Tm (0.1847, 0.0424, 0.2207)
Tm (0.9984, 0.7245, 0.3447)
Tm (0.0016, 0.2755, 0.6553)
Tm (0.8153, 0.9576, 0.7793)
Tb (0.7500, 0.8824, 0.1176)
Tb (0.2500, 0.1176, 0.8824)

---

Entry 3:
Compound: TbPrTm
Source: the Alexandria database
Functional: GGA-PBE
Structure: optimized geometry

Properties
The calculation puts the energy above the most stable polymorph in this dataset at 15.3 kJ/mol of formula units. For the density of states at the Fermi level, the calculation gives 1.397 states/eV/atom. The space-group type is P-6m2, No. 187. As for the formation enthalpy at 0 K: 0.074 eV/atom.

abc: 3.4950 5.6889 5.6889
angles: 120.00 90.00 90.00
Positions (direct):
Pr (0.6667, 0.6667, 0.3333)
Tb (0.1677, 0.0000, 0.0000)
Tm (0.1656, 0.3333, 0.6667)

---

Entry 4:
Compound: Tb2Pr5Tm
Source: the Alexandria database
Functional: GGA-PBE
Structure: optimized geometry

Properties
The calculation puts the energy above the most stable polymorph in this dataset at 0.0 kJ/mol of formula units. For the density of states at the Fermi level, the calculation gives 1.536 states/eV/atom. The space-group type is I4/mcm, No. 140. As for the formation enthalpy at 0 K: 0.112 eV/atom.

abc: 9.2177 9.2177 9.2181
angles: 120.00 120.00 90.00
Last column: magnetic moment on the atom in μB.
Positions (direct):
Pr (0.5000, 0.5000, 0.0000)  0.06
Pr (0.1852, 0.9864, 0.6716)  0.01
Pr (0.0136, 0.5136, 0.3284)  0.01
Pr (0.4864, 0.6852, 0.6716)  0.01
Pr (0.3148, 0.8148, 0.3284)  0.01
Pr (0.6852, 0.1852, 0.6716)  0.01
Pr (0.9864, 0.4864, 0.6716)  0.01
Pr (0.0000, 0.0000, 0.0000)  0.06
Pr (0.5136, 0.3148, 0.3284)  0.01
Pr (0.8148, 0.0136, 0.3284)  0.01
Tm (0.7500, 0.7500, 0.5000)  0.10
Tm (0.2500, 0.2500, 0.5000)  0.10
Tb (0.8549, 0.6451, 0.0000)  0.01
Tb (0.1451, 0.3549, 0.0000)  0.01
Tb (0.3549, 0.8549, 0.0000)  0.01
Tb (0.6451, 0.1451, 0.0000)  0.01

---

Entry 5:
Compound: TbPr2Tm3
Source: the Alexandria database
Functional: GGA-PBE
Structure: optimized geometry

Properties
For the density of states at the Fermi level, the calculation gives 1.608 states/eV/atom. The space-group type is C2/m, No. 12. As for the formation enthalpy at 0 K: 0.124 eV/atom.

abc: 3.5012 9.0735 12.9942
angles: 78.12 82.26 78.88
Positions (direct):
Pr (0.1806, 0.5184, 0.1204)
Pr (0.8194, 0.4816, 0.8796)
Pr (0.3454, 0.8415, 0.4678)
Pr (0.6546, 0.1585, 0.5322)
Tb (0.5625, 0.5176, 0.3574)
Tb (0.4375, 0.4824, 0.6426)
Tm (0.7368, 0.8189, 0.7076)
Tm (0.9608, 0.8724, 0.2061)
Tm (0.4017, 0.1702, 0.0264)
Tm (0.2632, 0.1811, 0.2924)
Tm (0.5983, 0.8298, 0.9736)
Tm (0.0392, 0.1276, 0.7939)

---

Entry 6:
Compound: Tb4PrTm2
Source: the Alexandria database
Functional: GGA-PBE
Structure: optimized geometry

Properties
The calculation puts the energy above the most stable polymorph in this dataset at 0.0 kJ/mol of formula units. For the density of states at the Fermi level, the calculation gives 1.466 states/eV/atom. The space-group type is C2/m, No. 12. As for the formation enthalpy at 0 K: 0.032 eV/atom.

abc: 3.5326 8.7438 8.5227
angles: 118.41 101.97 89.99
Positions (direct):
Tb (0.6393, 0.8295, 0.2788)
Tb (0.2948, 0.7054, 0.5895)
Tb (0.3607, 0.1705, 0.7212)
Tb (0.7052, 0.2946, 0.4105)
Tm (0.0708, 0.4311, 0.1420)
Tm (0.9292, 0.5689, 0.8580)
Pr (0.0000, 0.0000, 0.0000)

---

Entry 7:
Compound: Tb11Pr4Tm9
Source: the Alexandria database
Functional: GGA-PBE
Structure: optimized geometry

Properties
For the density of states at the Fermi level, the calculation gives 1.335 states/eV/atom. The space-group type is Cmmm, No. 65. As for the formation enthalpy at 0 K: 0.045 eV/atom.

abc: 3.5935 15.5076 15.5076
angles: 116.57 90.00 90.00
Positions (direct):
Tb (0.0000, 0.9677, 0.5951)
Tb (0.0000, 0.0323, 0.4049)
Tb (0.0000, 0.8126, 0.1874)
Tb (0.0000, 0.7904, 0.7904)
Tb (0.0000, 0.4049, 0.0323)
Tb (0.0000, 0.3763, 0.6237)
Tb (0.0000, 0.5951, 0.9677)
Tb (0.0000, 0.2096, 0.2096)
Tb (0.0000, 0.1874, 0.8126)
Tb (0.0000, 0.0000, 0.0000)
Tb (0.0000, 0.6237, 0.3763)
Tm (0.5000, 0.8252, 0.3865)
Tm (0.5000, 0.9857, 0.7974)
Tm (0.5000, 0.0143, 0.2026)
Tm (0.5000, 0.7974, 0.9857)
Tm (0.5000, 0.5000, 0.5000)
Tm (0.5000, 0.3865, 0.8252)
Tm (0.5000, 0.6135, 0.1748)
Tm (0.5000, 0.1748, 0.6135)
Tm (0.5000, 0.2026, 0.0143)
Pr (0.5000, 0.5831, 0.7600)
Pr (0.5000, 0.7600, 0.5831)
Pr (0.5000, 0.4169, 0.2400)
Pr (0.5000, 0.2400, 0.4169)

---

Entry 8:
Compound: Tb2Pr5Tm3
Source: the Alexandria database
Functional: GGA-PBE
Structure: optimized geometry

Properties
The calculation puts the energy above the most stable polymorph in this dataset at 0.0 kJ/mol of formula units. For the density of states at the Fermi level, the calculation gives 1.711 states/eV/atom. The space-group type is C2/c, No. 15. As for the formation enthalpy at 0 K: 0.176 eV/atom.

abc: 10.0702 10.0753 9.2001
angles: 108.21 108.19 115.43
Positions (direct):
Pr (0.7707, 0.5207, 0.0413)
Pr (0.1205, 0.3667, 0.2390)
Pr (0.0197, 0.2697, 0.5393)
Pr (0.3815, 0.1277, 0.7610)
Pr (0.6185, 0.8723, 0.2390)
Pr (0.8795, 0.6333, 0.7610)
Pr (0.4791, 0.2291, 0.4582)
Pr (0.5209, 0.7709, 0.5418)
Pr (0.9803, 0.7303, 0.4607)
Pr (0.2293, 0.4793, 0.9587)
Tm (0.2207, 0.7791, 0.2480)
Tm (0.5273, 0.4689, 0.2480)
Tm (0.4727, 0.5311, 0.7520)
Tm (0.7793, 0.2209, 0.7520)
Tm (0.7270, 0.9770, 0.9540)
Tm (0.2730, 0.0230, 0.0460)
Tb (0.7172, 0.2750, 0.2408)
Tb (0.9764, 0.0342, 0.7592)
Tb (0.0236, 0.9658, 0.2408)
Tb (0.2828, 0.7250, 0.7592)

---

Entry 9:
Compound: Tb2Pr3Tm7
Source: the Alexandria database
Functional: GGA-PBE
Structure: optimized geometry

Properties
The calculation puts the energy above the most stable polymorph in this dataset at 0.0 kJ/mol of formula units. For the density of states at the Fermi level, the calculation gives 1.192 states/eV/atom. The space-group type is P2/m, No. 10. As for the formation enthalpy at 0 K: 0.090 eV/atom.

abc: 3.5621 5.7950 18.7542
angles: 93.06 90.00 90.00
Positions (direct):
Pr (0.5000, 0.5000, 0.0000)
Pr (0.0000, 0.2231, 0.3672)
Pr (0.0000, 0.7769, 0.6328)
Tm (0.5000, 0.8057, 0.8267)
Tm (0.0000, 0.6921, 0.1430)
Tm (0.5000, 0.1943, 0.1733)
Tm (0.5000, 0.2574, 0.5387)
Tm (0.0000, 0.3079, 0.8570)
Tm (0.5000, 0.7426, 0.4613)
Tm (0.0000, 0.0000, 0.0000)
Tb (0.5000, 0.2895, 0.7091)
Tb (0.5000, 0.7105, 0.2909)

---

> What is the formula in the eighth record?

Tb2Pr5Tm3